No. 1
## AgTePdN2 (PBE)

Data for crystalline AgTePdN2 at its relaxed geometry.

The electronic total energy is -3.84 eV per atom. The value obtained for the size of the total moment is 0.7626 μB per atom. The density is 6.02 g/cm³. As for the crystal system: tetragonal. The uncorrected formation energy is 1.73 eV per atom. As for the relative energy among the computed polymorphs: 424 meV per atom.

The space group is P4/mmm (No. 123) and the conventional cell measures 4.0322, 4.0322 and 6.2721 Å, with angles of 90.00, 90.00 and 90.00 degrees. The inequivalent atoms are Ag at (0.0000, 0.0000, 0.0000), Te at (0.0000, 0.0000, 0.5000), Pd at (0.5000, 0.5000, 0.5000) and N at (0.0000, 0.5000, 0.0000).

---

No. 2
## Ca2Ga4NiPt3 (PBE)

Data for crystalline Ca2Ga4NiPt3 at its relaxed geometry.

The electronic total energy is -4.79 eV per atom. The value obtained for the size of the total moment is 0.0000 μB per atom. The formation energy from the elements comes out at -0.785 eV/atom. The density is 8.82 g/cm³. As for the crystal system: tetragonal.

The space group is P-4m2 (No. 115) and the conventional cell measures 4.2720, 4.2720 and 10.3434 Å, with angles of 90.00, 90.00 and 90.00 degrees. The inequivalent atoms are Ca at (0.0000, 0.5000, 0.2430), Ga at (0.0000, 0.0000, 0.5000), Ga at (0.0000, 0.5000, 0.8780), Ga at (0.5000, 0.5000, 0.5000), Ni at (0.5000, 0.5000, 0.0000), Pt at (0.0000, 0.0000, 0.0000) and Pt at (0.0000, 0.5000, 0.6366).

---

No. 3
## ScRuPb2 (PBE)

Data for crystalline ScRuPb2 at its relaxed geometry.

The electronic total energy is -5.67 eV per atom. The value obtained for the size of the total moment is 0.0006 μB per atom. The formation energy from the elements comes out at 0.081 eV/atom. The density is 10.62 g/cm³. As for the crystal system: monoclinic. As for the relative energy among the computed polymorphs: 202 meV per atom.

The space group is C2/m (No. 12) and the conventional cell measures 9.2347, 3.4988 and 5.5723 Å, with angles of 90.00, 103.33 and 90.00 degrees. The inequivalent atoms are Sc at (0.0000, 0.0000, 0.0000), Ru at (0.0000, 0.5000, 0.5000) and Pb at (0.2380, 0.0000, 0.7270).

---

No. 4
## Ho4CdTe2 (PBE)

Data for crystalline Ho4CdTe2 at its relaxed geometry.

The electronic total energy is -4.33 eV per atom. The value obtained for the size of the total moment is 0.0000 μB per atom. The density is 7.99 g/cm³. As for the crystal system: orthorhombic. The uncorrected formation energy is -0.68 eV per atom.

The space group is Fddd (No. 70, origin choice 2) and the conventional cell measures 9.3747, 13.4754 and 13.5241 Å, with angles of 90.00, 90.00 and 90.00 degrees. The inequivalent atoms are Ho at (0.0696, 0.2787, 0.4707), Cd at (0.1250, 0.1250, 0.6250) and Te at (0.0000, 0.0000, 0.0000).

---

> What is the formula in the second record?

Ca2Ga4NiPt3

---

> What is the electronic total energy in the first record?

-3.84 eV per atom

---

> electronic total energy of number 1 (AgTePdN2)?

-3.84 eV per atom